No. 1
PBE HfTlGe2, optimized geometry; E_tot = -20.06 eV/cell
1.0
0.000 3.514 3.514
3.514 0.000 3.514
3.514 3.514 0.000
Hf Tl Ge
1 1 2
Cartesian
0.000 0.000 0.000
5.271 5.271 5.271
1.757 1.757 1.757
3.514 3.514 3.514

No. 2
PBE HfTlGe, optimized geometry; excess energy over the best structure of this formula in the dataset = 0.00 eV per formula unit
1.0
0.000 3.320 3.320
3.320 0.000 3.320
3.320 3.320 0.000
Hf Tl Ge
1 1 1
Cartesian
0.000 0.000 0.000
3.320 3.320 3.320
1.660 1.660 1.660

No. 3
PBE TmHfGe, optimized geometry; E_tot = -19.84 eV/cell
1.0
0.000 3.278 3.278
3.278 0.000 3.278
3.278 3.278 0.000
Tm Hf Ge
1 1 1
Cartesian
0.000 0.000 0.000
3.278 3.278 3.278
4.918 4.918 4.918